[1]
VASP calculation (GGA-PBE) on crystalline Li2GeRh2 at its relaxed geometry.

```
Li2GeRh2
1.0
3.608 -2.081 0.000
3.608 2.081 0.000
-2.416 0.000 4.461
Li Ge Rh
2 1 2
direct
0.193 0.193 0.079
0.807 0.807 0.921
0.000 0.000 0.500
0.394 0.394 0.681
0.606 0.606 0.319
```

For the density of states at the Fermi level, the calculation gives 0.622 states/eV/atom. For the formation energy, the calculation gives -2.11 eV per formula unit. As for the space group: C2/m.

---

[2]
VASP calculation (GGA-PBE) on crystalline Rb2SnPb6Au at its relaxed geometry.

```
Rb2SnPb6Au
1.0
3.957 2.285 13.952
-3.957 2.285 13.952
0.000 -4.570 13.952
Rb Sn Pb Au
4 2 12 2
direct
0.104 0.104 0.104
0.276 0.276 0.276
0.724 0.724 0.724
0.896 0.896 0.896
0.426 0.426 0.426
0.574 0.574 0.574
0.088 0.663 0.663
0.222 0.222 0.639
0.222 0.639 0.222
0.337 0.337 0.912
0.337 0.912 0.337
0.361 0.778 0.778
0.639 0.222 0.222
0.663 0.088 0.663
0.663 0.663 0.088
0.778 0.361 0.778
0.778 0.778 0.361
0.912 0.337 0.337
0.000 0.000 0.000
0.500 0.500 0.500
```

For the density of states at the Fermi level, the calculation gives 0.495 states/eV/atom. For the formation energy, the calculation gives -0.26 eV per formula unit. As for the space group: R-3m.

---

[3]
VASP calculation (GGA-PBE) on crystalline NdDy2In9 at its relaxed geometry.

```
NdDy2In9
1.0
4.665 0.000 0.000
0.000 4.665 0.000
0.000 0.000 13.984
Nd Dy In
1 2 9
direct
0.000 0.000 0.000
0.000 0.000 0.335
0.000 0.000 0.665
0.000 0.500 0.170
0.000 0.500 0.500
0.000 0.500 0.830
0.500 0.000 0.170
0.500 0.000 0.500
0.500 0.000 0.830
0.500 0.500 0.000
0.500 0.500 0.334
0.500 0.500 0.666
```

For the density of states at the Fermi level, the calculation gives 0.378 states/eV/atom. For the formation energy, the calculation gives -5.20 eV per formula unit. As for the space group: P4/mmm.

---

[4]
VASP calculation (GGA-PBE) on crystalline CsNaHgBr4 at its relaxed geometry.

```
CsNaHgBr4
1.0
7.285 0.000 0.000
0.000 7.923 0.000
-2.456 0.000 9.556
Cs Na Hg Br
2 2 2 8
direct
0.226 0.250 0.050
0.774 0.750 0.950
0.138 0.250 0.513
0.862 0.750 0.487
0.255 0.750 0.320
0.745 0.250 0.680
0.021 0.004 0.709
0.021 0.496 0.709
0.331 0.750 0.073
0.499 0.750 0.562
0.501 0.250 0.438
0.669 0.250 0.927
0.979 0.504 0.291
0.979 0.996 0.291
```

For the density of states at the Fermi level, the calculation gives 0.000 states/eV/atom. The calculation puts the energy relative to the elements, uncorrected at -111.51 kJ per mole of atoms. As for the space group: P2_1/m.

---

[5]
VASP calculation (GGA-PBE) on crystalline BaTe3P at its relaxed geometry.

```
BaTe3P
1.0
6.456 0.000 0.000
0.000 6.456 0.000
0.000 0.000 6.456
Ba Te P
1 3 1
direct
0.000 0.000 0.000
0.000 0.000 0.500
0.000 0.500 0.000
0.500 0.000 0.000
0.500 0.500 0.500
```

For the density of states at the Fermi level, the calculation gives 3.466 states/eV/atom. The calculation puts the energy relative to the elements, uncorrected at 100.38 kJ per mole of atoms. As for the space group: Pm-3m.

---

[6]
VASP calculation (GGA-PBE) on crystalline YWSe2 at its relaxed geometry.

```
YWSe2
1.0
4.319 -1.722 0.000
4.319 1.722 0.000
-1.672 0.000 5.839
Y W Se
1 1 2
direct
0.000 0.000 0.000
0.744 0.744 0.413
0.239 0.239 0.735
0.443 0.443 0.354
```

For the density of states at the Fermi level, the calculation gives 0.698 states/eV/atom. The calculation puts the energy relative to the elements, uncorrected at -49.35 kJ per mole of atoms. As for the space group: Cm.

---

[7]
VASP calculation (GGA-PBE) on crystalline MgHI2 at its relaxed geometry.

```
MgHI2
1.0
0.000 3.756 3.756
3.756 0.000 3.756
3.756 3.756 0.000
Mg H I
1 1 2
direct
0.000 0.000 0.000
0.500 0.500 0.500
0.250 0.250 0.250
0.750 0.750 0.750
```

For the density of states at the Fermi level, the calculation gives 0.000 states/eV/atom. As for the space group: Fm-3m. The calculation puts the final energy at -1.918 eV/atom.

---

[8]
VASP calculation (GGA-PBE) on crystalline InCuPd3 at its relaxed geometry.

```
InCuPd3
1.0
6.539 0.000 0.000
-3.269 5.663 0.000
0.000 0.000 4.680
In Cu Pd
2 2 6
direct
0.333 0.667 0.250
0.667 0.333 0.750
0.000 0.000 0.000
0.000 0.000 0.500
0.195 0.390 0.750
0.195 0.805 0.750
0.390 0.195 0.250
0.610 0.805 0.750
0.805 0.195 0.250
0.805 0.610 0.250
```

For the density of states at the Fermi level, the calculation gives 0.296 states/eV/atom. For the formation energy, the calculation gives -0.46 eV per formula unit. As for the space group: P6_3/mmc.

---

[9]
VASP calculation (GGA-PBE) on crystalline Y12Ho5Tm2 at its relaxed geometry.

```
Y12Ho5Tm2
1.0
6.145 0.000 0.000
3.064 8.881 0.000
2.044 0.724 11.011
Y Ho Tm
12 5 2
direct
0.026 0.052 0.343
0.131 0.264 0.711
0.185 0.368 0.394
0.289 0.579 0.764
0.394 0.789 0.131
0.448 0.895 0.817
0.552 0.105 0.183
0.606 0.211 0.869
0.711 0.421 0.236
0.815 0.632 0.606
0.869 0.736 0.289
0.974 0.948 0.657
0.079 0.159 0.026
0.343 0.684 0.448
0.500 0.000 0.500
0.657 0.316 0.552
0.921 0.841 0.974
0.236 0.474 0.078
0.764 0.526 0.922
```

For the density of states at the Fermi level, the calculation gives 1.472 states/eV/atom. For the formation energy, the calculation gives 0.49 eV per formula unit. As for the space group: P-1.

---

[10]
VASP calculation (GGA-PBE) on crystalline Er12Tl5Te2 at its relaxed geometry.

```
Er12Tl5Te2
1.0
8.149 -4.193 0.000
8.149 4.193 0.000
-2.225 0.000 8.295
Er Tl Te
12 5 2
direct
0.010 0.010 0.293
0.029 0.602 0.312
0.084 0.682 0.955
0.318 0.916 0.045
0.385 0.385 0.657
0.398 0.971 0.688
0.602 0.029 0.312
0.615 0.615 0.343
0.682 0.084 0.955
0.916 0.318 0.045
0.971 0.398 0.688
0.990 0.990 0.707
0.205 0.205 0.389
0.287 0.287 0.015
0.500 0.500 0.000
0.713 0.713 0.985
0.795 0.795 0.611
0.288 0.712 0.500
0.712 0.288 0.500
```

For the density of states at the Fermi level, the calculation gives 0.873 states/eV/atom. The calculation puts the energy relative to the elements, uncorrected at -29.12 kJ per mole of atoms. As for the space group: C2/m.

---

[11]
VASP calculation (GGA-PBE) on crystalline CeTmNiAu at its relaxed geometry.

```
CeTmNiAu
1.0
0.000 3.527 3.527
3.527 0.000 3.527
3.527 3.527 0.000
Ce Tm Ni Au
1 1 1 1
direct
0.000 0.000 0.000
0.500 0.500 0.500
0.250 0.250 0.250
0.750 0.750 0.750
```

For the density of states at the Fermi level, the calculation gives 1.558 states/eV/atom. For the formation energy, the calculation gives -1.93 eV per formula unit. As for the space group: F-43m.

---

[12]
VASP calculation (GGA-PBE) on crystalline K2CaMo at its relaxed geometry.

```
K2CaMo
1.0
2.292 -2.916 0.000
2.292 2.916 0.000
0.000 0.000 12.777
K Ca Mo
2 1 1
direct
0.000 0.000 0.217
0.000 0.000 0.783
0.500 0.500 0.500
0.500 0.500 0.000
```

For the density of states at the Fermi level, the calculation gives 0.865 states/eV/atom. For the formation energy, the calculation gives 4.92 eV per formula unit. As for the space group: Cmmm.

---

Q: Which formula does entry 5 have?
A: BaTe3P

---

Q: Number 7 is which compound?
A: MgHI2